one:
BaPd6: relaxed, PBE-GGA. Values from VASP.

Results
space group	No. 221
magnetic moment	0.0	μB per formula unit

Geometry as Quantum ESPRESSO input:
```
&SYSTEM
  ibrav = 0, nat = 7, ntyp = 2
/
ATOMIC_SPECIES
Ba 137.33 Ba.upf
Pd 106.42 Pd.upf
CELL_PARAMETERS angstrom
-4.9881 -2.9873 -1.7885
3.0347 -2.1982 -4.7919
1.7069 -4.8216 3.2928
ATOMIC_POSITIONS crystal
Ba 0.0000 0.0000 0.0000
Pd 0.1966 0.5000 0.5000
Pd 0.5000 0.5000 0.8034
Pd 0.5000 0.5000 0.1966
Pd 0.5000 0.1966 0.5000
Pd 0.5000 0.8034 0.5000
Pd 0.8034 0.5000 0.5000
```

---

two:
BaPd6: relaxed, PBE-GGA. Values from VASP.

Results
space group	No. 62
magnetic moment	0.0	μB per formula unit

Geometry as Quantum ESPRESSO input:
```
&SYSTEM
  ibrav = 0, nat = 28, ntyp = 2
/
ATOMIC_SPECIES
Ba 137.33 Ba.upf
Pd 106.42 Pd.upf
CELL_PARAMETERS angstrom
-0.9131 -5.4379 -0.4852
7.4528 -1.6433 4.3919
-5.5648 0.0890 9.4763
ATOMIC_POSITIONS crystal
Ba 0.7500 0.2393 0.9408
Ba 0.2500 0.7607 0.0592
Ba 0.7500 0.7393 0.5592
Ba 0.2500 0.2607 0.4408
Pd 0.7500 0.6041 0.0173
Pd 0.2500 0.3959 0.9827
Pd 0.7500 0.1041 0.4827
Pd 0.2500 0.8959 0.5173
Pd 0.0053 0.4347 0.1947
Pd 0.5053 0.5653 0.8053
Pd 0.4947 0.9347 0.3053
Pd 0.9947 0.0653 0.6947
Pd 0.9947 0.5653 0.8053
Pd 0.4947 0.4347 0.1947
Pd 0.5053 0.0653 0.6947
Pd 0.0053 0.9347 0.3053
Pd 0.2500 0.1546 0.1552
Pd 0.7500 0.8454 0.8448
Pd 0.2500 0.6546 0.3448
Pd 0.7500 0.3454 0.6552
Pd 0.2500 0.8206 0.7638
Pd 0.7500 0.1794 0.2362
Pd 0.2500 0.3206 0.7362
Pd 0.7500 0.6794 0.2638
Pd 0.2500 0.5709 0.5880
Pd 0.7500 0.4291 0.4120
Pd 0.2500 0.0709 0.9120
Pd 0.7500 0.9291 0.0880
```

---

The least stable of them is one.

---

one:
BaPmPd2: relaxed, PBE-GGA. Values from VASP.

Results
space group	No. 166
magnetic moment	0.0	μB per formula unit

Geometry as Quantum ESPRESSO input:
```
&SYSTEM
  ibrav = 0, nat = 4, ntyp = 3
/
ATOMIC_SPECIES
Ba 137.33 Ba.upf
Pd 106.42 Pd.upf
Pm 145.00 Pm.upf
CELL_PARAMETERS angstrom
-2.8872 -3.1414 -2.3058
-2.9865 -2.8595 2.5348
-6.0807 2.0230 -0.2425
ATOMIC_POSITIONS crystal
Ba 0.0000 0.0000 0.0000
Pd 0.7858 0.7858 0.6427
Pd 0.2142 0.2142 0.3573
Pm 0.5000 0.5000 0.5000
```

---

two:
BaPmPd2: relaxed, PBE-GGA. Values from VASP.

Results
space group	No. 225
magnetic moment	0.0	μB per formula unit

Geometry as Quantum ESPRESSO input:
```
&SYSTEM
  ibrav = 0, nat = 4, ntyp = 3
/
ATOMIC_SPECIES
Ba 137.33 Ba.upf
Pd 106.42 Pd.upf
Pm 145.00 Pm.upf
CELL_PARAMETERS angstrom
5.2836 0.0000 0.0000
2.6418 4.5757 0.0000
2.6418 1.5252 4.3140
ATOMIC_POSITIONS crystal
Ba 0.5000 0.5000 0.5000
Pd 0.2500 0.2500 0.2500
Pd 0.7500 0.7500 0.7500
Pm 0.0000 0.0000 0.0000
```

---

The least stable of them is two.